Record 1
The following is a DFT calculation (PBE) of a relaxed TbNd3Tl crystal.

Lattice parameters (Å, degrees): 13.231 13.231 4.924 90.00 90.00 158.62
Element x y z (fractional)
Tb1 0.151 0.849 0.750
Tb2 0.849 0.151 0.250
Nd1 0.054 0.946 0.250
Nd2 0.249 0.751 0.250
Nd3 0.447 0.553 0.250
Nd4 0.553 0.447 0.750
Nd5 0.751 0.249 0.750
Nd6 0.946 0.054 0.750
Tl1 0.347 0.653 0.750
Tl2 0.653 0.347 0.250

E above lowest polymorph	0.0000	eV/atom
volume	31.43	A^3/atom
ΔE_f	-0.132	eV/atom

---

Record 2
The following is a DFT calculation (PBE) of a relaxed TbNd4Tl2 crystal.

Lattice parameters (Å, degrees): 4.935 5.913 8.329 98.83 96.19 105.50
Element x y z (fractional)
Tb1 0.000 0.000 0.000
Nd1 0.299 0.942 0.671
Nd2 0.499 0.499 0.499
Nd3 0.499 0.500 0.999
Nd4 0.698 0.055 0.327
Tl1 0.050 0.644 0.267
Tl2 0.946 0.353 0.730

E above lowest polymorph	0.0000	eV/atom
volume	32.66	A^3/atom
ΔE_f	-0.076	eV/atom

---

Record 3
The following is a DFT calculation (PBE) of a relaxed Tb2NdTl3 crystal.

Lattice parameters (Å, degrees): 3.805 3.805 11.739 90.00 90.00 90.00
Element x y z (fractional)
Tb1 0.000 0.000 0.163
Tb2 0.000 0.000 0.837
Nd1 0.000 0.000 0.500
Tl1 0.500 0.500 0.000
Tl2 0.500 0.500 0.324
Tl3 0.500 0.500 0.676

volume	28.33	A^3/atom
ΔE_f	-0.371	eV/atom

---

Record 4
The following is a DFT calculation (PBE) of a relaxed Tb2Nd5Tl5 crystal.

Lattice parameters (Å, degrees): 6.509 6.509 14.051 112.13 112.13 45.05
Element x y z (fractional)
Tb1 0.029 0.029 0.289
Tb2 0.971 0.971 0.711
Nd1 0.286 0.286 0.190
Nd2 0.335 0.335 0.472
Nd3 0.500 0.500 0.000
Nd4 0.665 0.665 0.528
Nd5 0.714 0.714 0.810
Tl1 0.000 0.000 0.500
Tl2 0.154 0.154 0.942
Tl3 0.309 0.309 0.710
Tl4 0.691 0.691 0.290
Tl5 0.846 0.846 0.058

volume	32.06	A^3/atom
ΔE_f	-0.219	eV/atom